[1]
DFT (PBE) results for a relaxed AcTbSnRu crystal.

D(E_F): 0.70 states/eV per atom
space group: F-43m, No. 216
final energy: -22.80 eV per cell
energy of formation: -0.1954 eV/atom
calculated volume: 106.7 Å³ per cell

Cell lengths 5.3243, 5.3243, 5.3243 Å; angles 60.00, 60.00, 60.00 degrees
With the nearest neighbours (Å) after each atom.
Fractional positions:
Ru 0.7500 0.7500 0.7500  4 Tb 3.26, 4 Ac 3.26
Ac 0.0000 0.0000 0.0000  4 Ru 3.26, 4 Sn 3.26
Tb 0.5000 0.5000 0.5000  4 Sn 3.26, 4 Ru 3.26
Sn 0.2500 0.2500 0.2500  4 Ac 3.26, 4 Tb 3.26

***

[2]
DFT (PBE) results for a relaxed AcZnSn2Ru2 crystal.

D(E_F): 0.58 states/eV per atom
space group: P4/mmm, No. 123
final energy: -33.03 eV per cell
energy of formation: -0.1825 eV/atom
calculated volume: 134.8 Å³ per cell

Cell lengths 4.7119, 4.7119, 6.0715 Å; angles 90.00, 90.00, 90.00 degrees
With the nearest neighbours (Å) after each atom.
Fractional positions:
Ac 0.0000 0.0000 0.5000  2 Zn 3.04
Zn 0.0000 0.0000 0.0000  4 Ru 2.36
Sn 0.5000 0.5000 0.7472  4 Ru 2.81, 2 Sn 3.00-3.07
Sn 0.5000 0.5000 0.2528  4 Ru 2.81, 2 Sn 3.00-3.07
Ru 0.5000 0.0000 0.0000  2 Zn 2.36
Ru 0.0000 0.5000 0.0000  2 Zn 2.36

***

[3]
DFT (PBE) results for a relaxed SrAc8Ru2 crystal.

D(E_F): 1.33 states/eV per atom
space group: C2/m, No. 12
final energy: -53.47 eV per cell
energy of formation: -0.0332 eV/atom
calculated volume: 449.2 Å³ per cell

Cell lengths 6.8701, 7.6677, 9.3870 Å; angles 114.11, 84.90, 90.00 degrees
With the nearest neighbours (Å) after each atom.
Fractional positions:
Sr 0.0000 0.0000 0.0000  6 Ac 3.79-3.93
Ac 0.6020 0.8932 0.2785  2 Ru 2.98-3.01
Ac 0.3980 0.6147 0.7215  2 Ru 2.98-3.01
Ac 0.9038 0.7859 0.5717  1 Ru 3.04
Ac 0.0962 0.2141 0.4283  1 Ru 3.04
Ac 0.6020 0.3853 0.2785  2 Ru 2.98-3.01
Ac 0.3980 0.1068 0.7215  2 Ru 2.98-3.01
Ac 0.1654 0.5803 0.1607  1 Ru 2.90
Ac 0.8346 0.4197 0.8393  1 Ru 2.90
Ru 0.3370 0.7285 0.4569  6 Ac 2.90-3.04
Ru 0.6630 0.2715 0.5431  6 Ac 2.90-3.04

***

[4]
DFT (PBE) results for a relaxed SrAc2Ru crystal.

D(E_F): 0.51 states/eV per atom
space group: R3m, No. 160
final energy: -19.67 eV per cell
energy of formation: -0.1231 eV/atom
calculated volume: 163.2 Å³ per cell

Cell lengths 4.3121, 4.3121, 10.4344 Å; angles 78.08, 78.08, 60.00 degrees
With the nearest neighbours (Å) after each atom.
Fractional positions:
Sr 0.5012 0.5012 0.4964  6 Ac 4.26-4.34, 6 Sr 4.31
Ac 0.0511 0.0511 0.8468  3 Ru 2.94
Ac 0.2817 0.2817 0.1548  3 Ru 2.93
Ru 0.6660 0.6660 0.0020  6 Ac 2.93-2.94

***

[5]
DFT (PBE) results for a relaxed SrAc2Ru crystal.

D(E_F): 0.98 states/eV per atom
space group: P4/mmm, No. 123
final energy: -19.12 eV per cell
energy of formation: 0.0140 eV/atom
calculated volume: 149.7 Å³ per cell

Cell lengths 3.7518, 3.7518, 10.6334 Å; angles 90.00, 90.00, 90.00 degrees
With the nearest neighbours (Å) after each atom.
Fractional positions:
Ru 0.5000 0.5000 0.0000  8 Ac 3.19
Ac 0.0000 0.0000 0.8341  4 Ru 3.19, 1 Ac 3.53
Ac 0.0000 0.0000 0.1659  4 Ru 3.19, 1 Ac 3.53
Sr 0.5000 0.5000 0.5000  4 Sr 3.75

***

[6]
DFT (PBE) results for a relaxed SrAc4Ru2 crystal.

D(E_F): 0.86 states/eV per atom
space group: P-1, No. 2
final energy: -74.15 eV per cell
energy of formation: -0.0582 eV/atom
calculated volume: 490.4 Å³ per cell

Cell lengths 7.4064, 9.3287, 7.8567 Å; angles 115.39, 90.01, 90.00 degrees
With the nearest neighbours (Å) after each atom.
Fractional positions:
Sr 0.2496 0.7840 0.0215  1 Ru 3.10
Sr 0.7504 0.2160 0.9785  1 Ru 3.10
Ac 0.4984 0.4152 0.7099  2 Ru 2.83-2.96
Ac 0.2504 0.2270 0.2370  1 Ru 2.82
Ac 0.7496 0.7730 0.7630  1 Ru 2.82
Ac 0.0015 0.4152 0.7096  2 Ru 2.83-2.96
Ac 0.7500 0.0048 0.3174  2 Ru 2.99-3.02
Ac 0.9985 0.5848 0.2904  2 Ru 2.83-2.96
Ac 0.5016 0.5848 0.2901  2 Ru 2.83-2.96
Ac 0.2500 0.9952 0.6826  2 Ru 2.99-3.02
Ru 0.2499 0.3379 0.9543  4 Ac 2.82-2.99
Ru 0.7501 0.6621 0.0457  4 Ac 2.82-2.99
Ru 0.7498 0.3556 0.4151  3 Ac 2.83-3.02, 1 Sr 3.10
Ru 0.2502 0.6444 0.5849  3 Ac 2.83-3.02, 1 Sr 3.10

***

[7]
DFT (PBE) results for a relaxed SrAcRu crystal.

D(E_F): 0.92 states/eV per atom
space group: P2_1/m, No. 11
final energy: -30.30 eV per cell
energy of formation: -0.0285 eV/atom
calculated volume: 225.2 Å³ per cell

Cell lengths 4.4542, 4.5270, 11.3946 Å; angles 101.47, 90.00, 90.00 degrees
With the nearest neighbours (Å) after each atom.
Fractional positions:
Sr 0.7500 0.3113 0.6219  1 Ru 3.74, 4 Ac 4.11, 4 Sr 4.18
Sr 0.2500 0.6887 0.3781  1 Ru 3.74, 4 Ac 4.11, 4 Sr 4.18
Ac 0.2500 0.9285 0.8562  6 Ru 3.08-3.37
Ac 0.7500 0.0715 0.1438  6 Ru 3.08-3.37
Ru 0.2500 0.5217 0.0433  2 Ru 2.43
Ru 0.7500 0.4783 0.9567  2 Ru 2.43

***

[8]
DFT (PBE) results for a relaxed SrAcRu crystal.

D(E_F): 0.80 states/eV per atom
space group: P2_1/m, No. 11
final energy: -59.63 eV per cell
energy of formation: 0.0527 eV/atom
calculated volume: 403.4 Å³ per cell

Cell lengths 5.5946, 10.2181, 10.2157 Å; angles 66.40, 56.64, 56.65 degrees
With the nearest neighbours (Å) after each atom.
Fractional positions:
Sr 0.1721 0.6635 0.9136  1 Ru 2.98
Sr 0.8278 0.8366 0.5864  1 Ru 2.98
Sr 0.8279 0.3365 0.0864  1 Ru 2.98
Sr 0.1722 0.1634 0.4136  1 Ru 2.98
Ac 0.2465 0.3762 0.6260  4 Ru 2.89-2.90
Ac 0.2465 0.8761 0.1260  4 Ru 2.89-2.90
Ac 0.7535 0.6238 0.3740  4 Ru 2.89-2.90
Ac 0.7535 0.1239 0.8740  4 Ru 2.89-2.90
Ru 0.6335 0.4325 0.6826  4 Ac 2.89-2.90, 1 Sr 2.98
Ru 0.6335 0.9323 0.1825  4 Ac 2.89-2.90, 1 Sr 2.98
Ru 0.3665 0.5675 0.3174  4 Ac 2.89-2.90, 1 Sr 2.98
Ru 0.3665 0.0677 0.8175  4 Ac 2.89-2.90, 1 Sr 2.98

***

[9]
DFT (PBE) results for a relaxed SrAc2Ru crystal.

D(E_F): 0.79 states/eV per atom
space group: R-3m, No. 166
final energy: -19.21 eV per cell
energy of formation: -0.0097 eV/atom
calculated volume: 177.8 Å³ per cell

Cell lengths 4.2394, 4.2394, 11.6854 Å; angles 79.55, 79.55, 60.00 degrees
With the nearest neighbours (Å) after each atom.
Fractional positions:
Ru 0.5000 0.5000 0.5000  6 Ac 2.93
Ac 0.1199 0.1199 0.6403  3 Ru 2.93
Ac 0.8801 0.8801 0.3597  3 Ru 2.93
Sr 0.0000 0.0000 0.0000  2 Ac 4.11, 6 Sr 4.24

***

[10]
DFT (PBE) results for a relaxed SrAc6Ru3 crystal.

D(E_F): 0.67 states/eV per atom
space group: P2_1/m, No. 11
final energy: -110.39 eV per cell
energy of formation: -0.1033 eV/atom
calculated volume: 745.1 Å³ per cell

Cell lengths 4.3036, 13.1646, 13.4960 Å; angles 102.97, 90.00, 90.00 degrees
With the nearest neighbours (Å) after each atom.
Fractional positions:
Sr 0.7500 0.0353 0.6414  6 Ac 3.95-4.31, 4 Sr 4.30
Sr 0.2500 0.9647 0.3586  6 Ac 3.95-4.31, 4 Sr 4.30
Ac 0.7500 0.5224 0.6316  4 Ru 2.95-3.06
Ac 0.2500 0.4776 0.3684  4 Ru 2.95-3.06
Ac 0.7500 0.9331 0.0911  3 Ru 2.94-3.06
Ac 0.2500 0.0669 0.9089  3 Ru 2.94-3.06
Ac 0.7500 0.3851 0.0372  4 Ru 3.00-3.24
Ac 0.2500 0.6149 0.9628  4 Ru 3.00-3.24
Ac 0.7500 0.6635 0.2427  3 Ru 2.96-3.08
Ac 0.2500 0.3365 0.7573  3 Ru 2.96-3.08
Ac 0.7500 0.2377 0.4651  2 Ru 2.76
Ac 0.2500 0.7623 0.5349  2 Ru 2.76
Ac 0.7500 0.7917 0.8076  2 Ru 2.85
Ac 0.2500 0.2083 0.1924  2 Ru 2.85
Ru 0.7500 0.4860 0.8391  6 Ac 2.95-3.24
Ru 0.2500 0.5140 0.1609  6 Ac 2.95-3.24
Ru 0.7500 0.6354 0.4630  6 Ac 2.76-3.08
Ru 0.2500 0.3646 0.5370  6 Ac 2.76-3.08
Ru 0.7500 0.1534 0.0520  6 Ac 2.85-3.10
Ru 0.2500 0.8466 0.9480  6 Ac 2.85-3.10

***

[11]
DFT (PBE) results for a relaxed Ac2TbRu crystal.

D(E_F): 0.83 states/eV per atom
space group: Immm, No. 71
final energy: -22.79 eV per cell
energy of formation: -0.1663 eV/atom
calculated volume: 143.4 Å³ per cell

Cell lengths 4.2988, 5.5554, 6.9540 Å; angles 113.53, 108.01, 89.97 degrees
With the nearest neighbours (Å) after each atom.
Fractional positions:
Ac 0.1639 0.1728 0.3279  2 Ru 2.91
Ac 0.8361 0.8452 0.6721  2 Ru 2.91
Tb 0.5000 0.5091 0.0000  2 Ru 2.78
Ru 0.5000 0.0090 0.0000  2 Tb 2.78, 4 Ac 2.91

***

[12]
DFT (PBE) results for a relaxed AcTb2Ru crystal.

D(E_F): 1.12 states/eV per atom
space group: Pnma, No. 62
final energy: -94.27 eV per cell
energy of formation: -0.2306 eV/atom
calculated volume: 471.4 Å³ per cell

Cell lengths 6.5184, 7.4702, 9.6808 Å; angles 90.00, 90.00, 90.00 degrees
With the nearest neighbours (Å) after each atom.
Fractional positions:
Ac 0.6426 0.5439 0.2500  2 Ru 2.88-3.04
Ac 0.8574 0.0439 0.2500  2 Ru 2.88-3.04
Ac 0.3574 0.4561 0.7500  2 Ru 2.88-3.04
Ac 0.1426 0.9561 0.7500  2 Ru 2.88-3.04
Tb 0.1670 0.6733 0.0704  2 Ru 2.86-2.90
Tb 0.3330 0.1733 0.4296  2 Ru 2.86-2.90
Tb 0.8330 0.3267 0.5704  2 Ru 2.86-2.90
Tb 0.6670 0.8267 0.9296  2 Ru 2.86-2.90
Tb 0.8330 0.3267 0.9296  2 Ru 2.86-2.90
Tb 0.6670 0.8267 0.5704  2 Ru 2.86-2.90
Tb 0.1670 0.6733 0.4296  2 Ru 2.86-2.90
Tb 0.3330 0.1733 0.0704  2 Ru 2.86-2.90
Ru 0.0700 0.3821 0.2500  4 Tb 2.86-2.90, 2 Ac 2.88-3.04
Ru 0.4300 0.8821 0.2500  4 Tb 2.86-2.90, 2 Ac 2.88-3.04
Ru 0.9300 0.6179 0.7500  4 Tb 2.86-2.90, 2 Ac 2.88-3.04
Ru 0.5700 0.1179 0.7500  4 Tb 2.86-2.90, 2 Ac 2.88-3.04

***

[13]
DFT (PBE) results for a relaxed Ac2TbRu crystal.

D(E_F): 1.30 states/eV per atom
space group: R-3m, No. 166
final energy: -21.12 eV per cell
energy of formation: 0.2496 eV/atom
calculated volume: 149.6 Å³ per cell

Cell lengths 4.0100, 4.0100, 10.9905 Å; angles 79.49, 79.49, 60.00 degrees
With the nearest neighbours (Å) after each atom.
Fractional positions:
Ru 0.5000 0.5000 0.5000  6 Ac 2.89
Ac 0.1130 0.1130 0.6610  3 Ru 2.89
Ac 0.8870 0.8870 0.3390  3 Ru 2.89
Tb 0.0000 0.0000 0.0000  2 Ac 3.64, 6 Tb 4.01

***

[14]
DFT (PBE) results for a relaxed Ac12TbRu7 crystal.

D(E_F): 0.54 states/eV per atom
space group: R-3, No. 148
final energy: -121.90 eV per cell
energy of formation: -0.1521 eV/atom
calculated volume: 676.8 Å³ per cell

Cell lengths 9.3618, 9.3618, 9.3618 Å; angles 107.35, 107.35, 107.35 degrees
With the nearest neighbours (Å) after each atom.
Fractional positions:
Ac 0.9261 0.3178 0.7795  3 Ru 2.82-2.97
Ac 0.6822 0.2205 0.0739  3 Ru 2.82-2.97
Ac 0.4491 0.1544 0.3742  3 Ru 2.84-3.10
Ac 0.8456 0.6258 0.5509  3 Ru 2.84-3.10
Ac 0.2205 0.0739 0.6822  3 Ru 2.82-2.97
Ac 0.6258 0.5509 0.8456  3 Ru 2.84-3.10
Ac 0.3742 0.4491 0.1544  3 Ru 2.84-3.10
Ac 0.7795 0.9261 0.3178  3 Ru 2.82-2.97
Ac 0.1544 0.3742 0.4491  3 Ru 2.84-3.10
Ac 0.5509 0.8456 0.6258  3 Ru 2.84-3.10
Ac 0.3178 0.7795 0.9261  3 Ru 2.82-2.97
Ac 0.0739 0.6822 0.2205  3 Ru 2.82-2.97
Tb 0.0000 0.0000 0.0000  6 Ru 3.05
Ru 0.9849 0.6529 0.8777  5 Ac 2.82-3.10, 1 Tb 3.05
Ru 0.3471 0.1223 0.0151  5 Ac 2.82-3.10, 1 Tb 3.05
Ru 0.1223 0.0151 0.3471  5 Ac 2.82-3.10, 1 Tb 3.05
Ru 0.5000 0.5000 0.5000  6 Ac 2.93
Ru 0.8777 0.9849 0.6529  5 Ac 2.82-3.10, 1 Tb 3.05
Ru 0.6529 0.8777 0.9849  5 Ac 2.82-3.10, 1 Tb 3.05
Ru 0.0151 0.3471 0.1223  5 Ac 2.82-3.10, 1 Tb 3.05

***

[15]
DFT (PBE) results for a relaxed AcTb2Ru crystal.

D(E_F): 0.73 states/eV per atom
space group: P4/mmm, No. 123
final energy: -23.31 eV per cell
energy of formation: -0.1670 eV/atom
calculated volume: 116.5 Å³ per cell

Cell lengths 3.5265, 3.5265, 9.3702 Å; angles 90.00, 90.00, 90.00 degrees
With the nearest neighbours (Å) after each atom.
Fractional positions:
Ru 0.5000 0.5000 0.0000  8 Tb 2.98
Ac 0.5000 0.5000 0.5000  4 Ac 3.53, 8 Tb 3.95
Tb 0.0000 0.0000 0.8268  4 Ru 2.98, 1 Tb 3.25
Tb 0.0000 0.0000 0.1732  4 Ru 2.98, 1 Tb 3.25

***

[16]
DFT (PBE) results for a relaxed AcTbRu4 crystal.

D(E_F): 1.55 states/eV per atom
space group: F-43m, No. 216
final energy: -46.28 eV per cell
energy of formation: -0.0738 eV/atom
calculated volume: 115.0 Å³ per cell

Cell lengths 5.4589, 5.4589, 5.4589 Å; angles 60.00, 60.00, 60.00 degrees
With the nearest neighbours (Å) after each atom.
Fractional positions:
Ru 0.6257 0.6257 0.1229  6 Ru 2.71-2.74
Ru 0.6257 0.1229 0.6257  6 Ru 2.71-2.74
Ru 0.6257 0.6257 0.6257  6 Ru 2.71-2.74
Ru 0.1229 0.6257 0.6257  6 Ru 2.71-2.74
Ac 0.2500 0.2500 0.2500  12 Ru 3.20, 4 Tb 3.34
Tb 0.0000 0.0000 0.0000  12 Ru 3.20, 4 Ac 3.34

***

[17]
DFT (PBE) results for a relaxed Ac2Tb3Ru2 crystal.

D(E_F): 0.59 states/eV per atom
space group: C2/m, No. 12
final energy: -42.40 eV per cell
energy of formation: -0.2489 eV/atom
calculated volume: 205.3 Å³ per cell

Cell lengths 3.9973, 6.6009, 8.6593 Å; angles 72.62, 76.66, 72.38 degrees
With the nearest neighbours (Å) after each atom.
Fractional positions:
Ac 0.1637 0.4646 0.2080  2 Ru 2.97
Ac 0.8363 0.5354 0.7920  2 Ru 2.97
Tb 0.5000 0.0000 0.0000  4 Ru 3.03
Tb 0.3742 0.8307 0.4209  3 Ru 2.84-2.98
Tb 0.6258 0.1693 0.5791  3 Ru 2.84-2.98
Ru 0.1733 0.8931 0.7604  5 Tb 2.84-3.03, 2 Ac 2.97
Ru 0.8267 0.1069 0.2396  5 Tb 2.84-3.03, 2 Ac 2.97

***

[18]
DFT (PBE) results for a relaxed AcTb2Ru crystal.

D(E_F): 1.28 states/eV per atom
space group: R-3m, No. 166
final energy: -22.36 eV per cell
energy of formation: 0.0718 eV/atom
calculated volume: 136.6 Å³ per cell

Cell lengths 3.8358, 3.8358, 10.9470 Å; angles 79.91, 79.91, 60.00 degrees
With the nearest neighbours (Å) after each atom.
Fractional positions:
Ru 0.5000 0.5000 0.5000  6 Tb 2.73
Ac 0.0000 0.0000 0.0000  2 Tb 3.76, 6 Ac 3.84
Tb 0.1169 0.1169 0.6494  3 Ru 2.73
Tb 0.8831 0.8831 0.3506  3 Ru 2.73

***

[19]
DFT (PBE) results for a relaxed Ac6TcRu crystal.

D(E_F): 0.77 states/eV per atom
space group: R-3, No. 148
final energy: -44.42 eV per cell
energy of formation: -0.0161 eV/atom
calculated volume: 312.6 Å³ per cell

Cell lengths 7.1911, 7.1917, 8.1198 Å; angles 63.73, 63.74, 60.01 degrees
With the nearest neighbours (Å) after each atom.
Fractional positions:
Ac 0.0874 0.4132 0.7509  1 Ru 2.95, 1 Tc 2.96
Ac 0.7483 0.0868 0.7510  1 Ru 2.95, 1 Tc 2.96
Ac 0.5865 0.2521 0.2487  1 Ru 2.95, 1 Tc 2.96
Ac 0.2517 0.9132 0.2490  1 Ru 2.95, 1 Tc 2.96
Ac 0.9126 0.5868 0.2491  1 Ru 2.95, 1 Tc 2.96
Ac 0.4135 0.7479 0.7513  1 Ru 2.95, 1 Tc 2.96
Tc 0.0000 0.0000 0.0000  6 Ac 2.96
Ru 0.5000 0.5000 0.5000  6 Ac 2.95

***

[20]
DFT (PBE) results for a relaxed Ac2TcRu crystal.

D(E_F): 1.58 states/eV per atom
space group: R-3m, No. 166
final energy: -23.71 eV per cell
energy of formation: 1.0381 eV/atom
calculated volume: 107.5 Å³ per cell

Cell lengths 3.6018, 3.6018, 9.7949 Å; angles 79.41, 79.41, 60.00 degrees
With the nearest neighbours (Å) after each atom.
Fractional positions:
Ru 0.5000 0.5000 0.5000  6 Ac 3.00
Ac 0.0916 0.0916 0.7253  1 Tc 2.63
Ac 0.9084 0.9084 0.2747  1 Tc 2.63
Tc 0.0000 0.0000 0.0000  2 Ac 2.63